10
Lattice="4.902 0.000 0.000 2.374 4.928 0.000 0.104 2.915 6.056" Properties=species:S:1:pos:R:3 comment="KNpH2O6, optimized geometry, DFT GGA-PBE" magnetic_moment_mub_per_fu=0.07 total_energy_ev_per_atom=-6.747 crystal_system=triclinic pbc="T T T"
K 0.000 0.000 0.000
Np 4.908 6.363 3.009
H 2.548 3.968 3.987
H 4.818 3.802 1.973
O 2.504 6.167 3.292
O 2.190 2.570 1.632
O 2.518 3.077 4.395
O 4.843 4.733 1.639
O 4.868 5.224 4.427
O 4.487 1.973 2.195